CdIn2HgH: relaxed, GGA-PBE.

Results
space-group type	P4/mmm, No. 123
raw total energy	-8.90	eV/cell
polymorph energy (0 for the lowest one)	29.2	meV/atom
magnetization	0.00	μB per cell

Structure (POSCAR):
```
CdIn2HgH
1.0
4.701 0.000 0.000
0.000 4.701 0.000
0.000 0.000 4.977
In Cd Hg H
2 1 1 1
Direct
0.500 0.000 0.000
0.000 0.500 0.000
0.500 0.500 0.500
0.000 0.000 0.500
0.000 0.000 0.000
```

***

CdInHg2H: relaxed, GGA-PBE.

Results
space-group type	P4/mmm, No. 123
raw total energy	-6.61	eV/cell
polymorph energy (0 for the lowest one)	16.9	meV/atom
magnetization	0.00	μB per cell

Structure (POSCAR):
```
CdInHg2H
1.0
5.805 0.000 0.000
0.000 5.805 0.000
0.000 0.000 3.774
Hg In H Cd
2 1 1 1
Direct
0.500 0.000 0.000
0.000 0.500 0.000
0.000 0.000 0.000
0.000 0.000 0.500
0.500 0.500 0.500
```

***

CdIn2HgH: relaxed, GGA-PBE.

Results
space-group type	P4/mmm, No. 123
raw total energy	-9.05	eV/cell
polymorph energy (0 for the lowest one)	0.0	meV/atom
magnetization	0.00	μB per cell

Structure (POSCAR):
```
CdIn2HgH
1.0
5.060 0.000 0.000
0.000 5.060 0.000
0.000 0.000 4.240
H In Cd Hg
1 2 1 1
Direct
0.000 0.000 0.000
0.500 0.000 0.000
0.000 0.500 0.000
0.000 0.000 0.500
0.500 0.500 0.500
```

***

Cd2InHgH: relaxed, GGA-PBE.

Results
space-group type	P4/mmm, No. 123
raw total energy	-6.90	eV/cell
magnetization	0.00	μB per cell

Structure (POSCAR):
```
Cd2InHgH
1.0
-0.438 -3.150 -3.789
2.679 -3.345 2.471
-3.548 -1.572 1.718
In Hg Cd H
1 1 2 1
Direct
0.000 0.000 0.500
0.500 0.500 0.500
0.500 0.000 0.000
0.000 0.500 0.000
0.000 0.000 0.000
```

***

CdInHg2H: relaxed, GGA-PBE.

Results
space-group type	P4/mmm, No. 123
raw total energy	-6.69	eV/cell
polymorph energy (0 for the lowest one)	0.0	meV/atom
magnetization	0.00	μB per cell

Structure (POSCAR):
```
CdInHg2H
1.0
5.471 0.000 0.000
0.000 5.471 0.000
0.000 0.000 3.773
Cd H Hg In
1 1 2 1
Direct
0.000 0.000 0.500
0.000 0.000 0.000
0.000 0.500 0.000
0.500 0.000 0.000
0.500 0.500 0.500
```

***

CdHgH6Ir: relaxed, GGA-PBE.

Results
space-group type	P312, No. 149
raw total energy	-29.33	eV/cell
magnetization	0.00	μB per cell

Structure (POSCAR):
```
CdHgH6Ir
1.0
4.881 0.000 0.000
2.441 4.228 -0.001
-0.001 -0.001 4.933
H Ir Cd Hg
6 1 1 1
Direct
0.616 0.096 0.276
0.096 0.616 0.724
0.288 0.616 0.276
0.096 0.288 0.276
0.616 0.288 0.724
0.288 0.096 0.724
0.333 0.333 0.500
0.667 0.667 0.500
0.000 0.000 0.000
```

***

KCdHg2H: relaxed, GGA-PBE.

Results
space-group type	P4/mmm, No. 123
raw total energy	-5.72	eV/cell
magnetization	0.00	μB per cell

Structure (POSCAR):
```
KCdHg2H
1.0
5.949 0.000 0.000
0.000 5.949 0.000
0.000 0.000 3.944
Hg Cd K H
2 1 1 1
Direct
0.500 0.000 0.000
0.000 0.500 0.000
0.000 0.000 0.000
0.500 0.500 0.500
0.000 0.000 0.500
```

***

K2CdHgH: relaxed, GGA-PBE.

Results
space-group type	P4/mmm, No. 123
raw total energy	-6.83	eV/cell
polymorph energy (0 for the lowest one)	19.3	meV/atom
magnetization	0.23	μB per cell

Structure (POSCAR):
```
K2CdHgH
1.0
-3.225 -3.884 -1.257
4.079 -3.002 -1.188
0.172 -1.828 5.209
Cd K H Hg
1 2 1 1
Direct
0.500 0.500 0.500
0.000 0.500 0.000
0.500 0.000 0.000
0.000 0.000 0.000
0.000 0.000 0.500
```